Entry 1:
Computed, not measured: crystalline FeSiPb2 at its relaxed geometry at the PBE level of DFT.

Properties
Electronic total energy in eV per cell: -18.443
Space group: Immm
D(E_F) in states/eV per cell: 3.99

```
4
Lattice="5.361 -0.025 0.007 1.350 5.189 -0.007 -2.885 -3.194 3.197" Properties=species:S:1:pos:R:3 pbc="T T T"
Fe 2.916 -0.318 1.602
Pb 6.674 5.136 0.000
Pb 3.393 2.611 0.000
Si 0.910 2.289 1.595
```

Entry 2:
Computed, not measured: crystalline FeSiPb2 at its relaxed geometry at the PBE level of DFT.

Properties
Electronic total energy in eV per cell: -20.590
Space group: P4mm
D(E_F) in states/eV per cell: 3.48

```
4
Lattice="3.199 0.000 0.000 0.000 3.199 0.000 0.000 0.000 8.457" Properties=species:S:1:pos:R:3 pbc="T T T"
Fe 1.599 1.599 5.684
Pb 0.000 0.000 7.845
Pb 1.599 1.599 2.696
Si 0.000 0.000 4.917
```

Which value of electronic total energy does entry 2 give?
-20.590 eV per cell

The highest D(E_F) belongs to which entry?
number 1